Density functional theory data (GGA-PBE) for TbSm2Co after structural relaxation.

E_tot = -60.99 eV for the cell shown
mass density = 7.2 g/cm³
DOS(E_F) = 1.52 states/eV per atom
offset from the most stable computed form = 322 meV per atom
formation energy from the elements = 0.211 eV per atom

CIF file:
```
data_TbSm2Co
_cell_length_a 3.6297
_cell_length_b 3.6297
_cell_length_c 31.3150
_cell_angle_alpha 90.00
_cell_angle_beta 90.00
_cell_angle_gamma 120.00
_symmetry_space_group_name_H-M 'R -3 m'
_symmetry_Int_Tables_number 166
_symmetry_space_group_name_Hall '-R 3 2"'
loop_
_atom_site_label
_atom_site_type_symbol
_atom_site_fract_x
_atom_site_fract_y
_atom_site_fract_z
_atom_site_occupancy
Tb1 Tb 0.0000 0.0000 0.0000 1
Sm1 Sm 0.0000 0.0000 0.1127 1
Co1 Co 0.0000 0.0000 0.5000 1
```